Here is K2OsCl8 after structural relaxation from Alexandria. Energies are from PBE.

CIF file:
```
data_K2OsCl8
_symmetry_space_group_name_H-M 'C 1 2/m 1'
_symmetry_Int_Tables_number 12
_cell_length_a 12.2569
_cell_length_b 9.9783
_cell_length_c 6.1782
_cell_angle_alpha 90.00
_cell_angle_beta 98.40
_cell_angle_gamma 90.00
loop_
_symmetry_equiv_pos_as_xyz
'x,y,z'
'-x,-y,-z'
'-x,y,-z'
'x,-y,z'
'x+1/2,y+1/2,z'
'-x+1/2,-y+1/2,-z'
'-x+1/2,y+1/2,-z'
'x+1/2,-y+1/2,z'
loop_
_atom_site_label
_atom_site_type_symbol
_atom_site_fract_x
_atom_site_fract_y
_atom_site_fract_z
_atom_site_occupancy
K1 K 0.1623 0.0000 0.3912 1
Os1 Os 0.0000 0.5000 0.5000 1
Cl1 Cl 0.0797 0.0000 0.8792 1
Cl2 Cl 0.1109 0.3359 0.3746 1
Cl3 Cl 0.1127 0.5000 0.8334 1
```

Results
Volume, Å³/f.u.: 374
E_form (uncorrected), eV/atom: -0.887